The following is a DFT calculation (PBE with a Hubbard U) of crystalline MnOsNO2 at its relaxed geometry.

Cell lengths 3.5764, 3.5764, 3.8970 Å; angles 90.00, 90.00, 90.00 degrees
Last column: nearest neighbours and their distance in Å.
Element x y z (fractional)
Mn1 0.0000 0.0000 0.0000  4 O 1.79, 2 N 1.95
Os1 0.5000 0.5000 0.5000  4 N 2.53, 8 O 2.64
N1 0.0000 0.0000 0.5000  2 Mn 1.95
O1 0.0000 0.5000 0.0000  2 Mn 1.79
O2 0.5000 0.0000 0.0000  2 Mn 1.79

Computed properties:
Space group = P4/mmm (123)
Uncorrected energy = -30.963 eV/cell